The following is a DFT calculation (PBE) of a relaxed structure of Pr2Nd3Sm7.

Values from the calculation:
DFT formation energy: 0.98 eV/f.u.
mass density: 7.00 g/cm³
V: 419 Å³ per cell
DFT total energy: -4.66 eV per atom
Fermi-level density of states: 15.9 states/eV/cell
E above lowest polymorph: 10.8 kJ/mol of formula units
symmetry: No. 10
total magnetic moment: 0.0 μB/cell

CIF file:
```
data_Pr2Nd3Sm7
_chemical_formula_sum 'Pr2 Nd3 Sm7'
_cell_length_a 3.6442
_cell_length_b 5.9767
_cell_length_c 19.2725
_cell_angle_alpha 93.16
_cell_angle_beta 90.00
_cell_angle_gamma 90.00
_space_group_name_H-M_alt 'P 1'
_space_group_IT_number 1
loop_
_space_group_symop_operation_xyz
'x,y,z'
loop_
_atom_site_label
_atom_site_type_symbol
_atom_site_fract_x
_atom_site_fract_y
_atom_site_fract_z
Sm1 Sm 0.5000 0.8110 0.8255
Sm2 Sm 0.5000 0.1890 0.1745
Pr1 Pr 0.5000 0.7110 0.2942
Pr2 Pr 0.5000 0.2890 0.7058
Nd1 Nd 0.0000 0.7782 0.6320
Sm3 Sm 0.0000 0.0000 0.0000
Sm4 Sm 0.5000 0.7430 0.4633
Nd2 Nd 0.0000 0.2218 0.3680
Sm5 Sm 0.0000 0.6870 0.1429
Nd3 Nd 0.5000 0.5000 0.0000
Sm6 Sm 0.5000 0.2570 0.5367
Sm7 Sm 0.0000 0.3130 0.8571
```



The following is a DFT calculation (PBE) of a relaxed structure of Tb2Sm3Tm6Pb.

Values from the calculation:
DFT formation energy: -0.63 eV/f.u.
mass density: 9.02 g/cm³
V: 366 Å³ per cell
DFT total energy: -4.55 eV per atom
Fermi-level density of states: 15.3 states/eV/cell
symmetry: No. 12
total magnetic moment: 0.0 μB/cell

CIF file:
```
data_Tb2Sm3Tm6Pb
_chemical_formula_sum 'Tb2 Sm3 Tm6 Pb1'
_cell_length_a 6.0841
_cell_length_b 6.0841
_cell_length_c 11.6094
_cell_angle_alpha 95.03
_cell_angle_beta 95.03
_cell_angle_gamma 119.99
_space_group_name_H-M_alt 'P 1'
_space_group_IT_number 1
loop_
_space_group_symop_operation_xyz
'x,y,z'
loop_
_atom_site_label
_atom_site_type_symbol
_atom_site_fract_x
_atom_site_fract_y
_atom_site_fract_z
Sm1 Sm 0.1671 0.8329 0.5000
Tm1 Tm 0.0811 0.4096 0.2462
Tm2 Tm 0.7529 0.7529 0.2472
Tb1 Tb 0.6661 0.3339 0.0000
Tm3 Tm 0.4096 0.0811 0.2462
Tm4 Tm 0.9189 0.5904 0.7538
Sm2 Sm 0.8329 0.1671 0.5000
Pb1 Pb 0.0000 0.0000 0.0000
Sm3 Sm 0.5000 0.5000 0.5000
Tm5 Tm 0.5904 0.9189 0.7538
Tb2 Tb 0.3339 0.6661 0.0000
Tm6 Tm 0.2471 0.2471 0.7528
```



The following is a DFT calculation (PBE) of a relaxed structure of TaNb3Ga.

Values from the calculation:
DFT formation energy: 0.25 eV/f.u.
mass density: 9.72 g/cm³
V: 362 Å³ per cell
DFT total energy: -8.97 eV per atom
Fermi-level density of states: 17.5 states/eV/cell
E above lowest polymorph: 0.0 kJ/mol of formula units
symmetry: No. 15
total magnetic moment: 0.0 μB/cell

CIF file:
```
data_TaNb3Ga
_chemical_formula_sum 'Ta4 Nb12 Ga4'
_cell_length_a 5.4967
_cell_length_b 8.1892
_cell_length_c 8.1892
_cell_angle_alpha 82.22
_cell_angle_beta 96.03
_cell_angle_gamma 96.03
_space_group_name_H-M_alt 'P 1'
_space_group_IT_number 1
loop_
_space_group_symop_operation_xyz
'x,y,z'
loop_
_atom_site_label
_atom_site_type_symbol
_atom_site_fract_x
_atom_site_fract_y
_atom_site_fract_z
Nb1 Nb 0.5370 0.0859 0.3308
Nb2 Nb 0.8444 0.3293 0.4708
Nb3 Nb 0.5431 0.3390 0.0672
Nb4 Nb 0.4569 0.6610 0.9328
Nb5 Nb 0.9630 0.6692 0.9141
Ga1 Ga 0.8268 0.5877 0.2228
Ta1 Ta 0.7500 0.1908 0.8092
Nb6 Nb 0.6556 0.5292 0.6707
Ta2 Ta 0.2500 0.0637 0.9363
Nb7 Nb 0.3444 0.4708 0.3293
Nb8 Nb 0.1556 0.6707 0.5292
Nb9 Nb 0.9569 0.9328 0.6610
Ga2 Ga 0.6732 0.7772 0.4123
Nb10 Nb 0.4630 0.9141 0.6692
Nb11 Nb 0.0431 0.0672 0.3390
Nb12 Nb 0.0370 0.3308 0.0859
Ga3 Ga 0.1732 0.4123 0.7772
Ga4 Ga 0.3268 0.2228 0.5877
Ta3 Ta 0.7500 0.9363 0.0637
Ta4 Ta 0.2500 0.8092 0.1908
```



The following is a DFT calculation (PBE) of a relaxed structure of BeReAg.

Values from the calculation:
DFT formation energy: 2.87 eV/f.u.
mass density: 11.40 g/cm³
V: 44 Å³ per cell
DFT total energy: -5.38 eV per atom
Fermi-level density of states: 3.0 states/eV/cell
E above lowest polymorph: 180.7 kJ/mol of formula units
symmetry: No. 216
total magnetic moment: 1.2 μB/cell

CIF file:
```
data_BeReAg
_chemical_formula_sum 'Be1 Re1 Ag1'
_cell_length_a 3.9671
_cell_length_b 3.9671
_cell_length_c 3.9671
_cell_angle_alpha 60.00
_cell_angle_beta 60.00
_cell_angle_gamma 60.00
_space_group_name_H-M_alt 'P 1'
_space_group_IT_number 1
loop_
_space_group_symop_operation_xyz
'x,y,z'
loop_
_atom_site_label
_atom_site_type_symbol
_atom_site_fract_x
_atom_site_fract_y
_atom_site_fract_z
Be1 Be 0.7500 0.7500 0.7500
Re1 Re 0.0000 0.0000 0.0000
Ag1 Ag 0.5000 0.5000 0.5000
```



The following is a DFT calculation (PBE) of a relaxed structure of FeCuAu4.

Values from the calculation:
DFT formation energy: 2.65 eV/f.u.
mass density: 13.41 g/cm³
V: 112 Å³ per cell
DFT total energy: -3.84 eV per atom
Fermi-level density of states: 4.3 states/eV/cell
symmetry: No. 216
total magnetic moment: 3.2 μB/cell

CIF file:
```
data_FeCuAu4
_chemical_formula_sum 'Fe1 Cu1 Au4'
_cell_length_a 5.4155
_cell_length_b 5.4155
_cell_length_c 5.4155
_cell_angle_alpha 60.00
_cell_angle_beta 60.00
_cell_angle_gamma 60.00
_space_group_name_H-M_alt 'P 1'
_space_group_IT_number 1
loop_
_space_group_symop_operation_xyz
'x,y,z'
loop_
_atom_site_label
_atom_site_type_symbol
_atom_site_fract_x
_atom_site_fract_y
_atom_site_fract_z
Au1 Au 0.3750 0.3750 0.8749
Au2 Au 0.8749 0.3750 0.3750
Au3 Au 0.3750 0.3750 0.3750
Cu1 Cu 0.7500 0.7500 0.7500
Fe1 Fe 0.0000 0.0000 0.0000
Au4 Au 0.3750 0.8749 0.3750
```



The following is a DFT calculation (PBE) of a relaxed structure of La3GaH.

Values from the calculation:
mass density: 6.20 g/cm³
V: 261 Å³ per cell
DFT total energy: -4.55 eV per atom
Fermi-level density of states: 10.1 states/eV/cell
E above lowest polymorph: 7.2 kJ/mol of formula units
symmetry: No. 65
total magnetic moment: 0.0 μB/cell

CIF file:
```
data_La3GaH
_chemical_formula_sum 'La6 Ga2 H2'
_cell_length_a 4.0866
_cell_length_b 8.2312
_cell_length_c 8.2308
_cell_angle_alpha 70.55
_cell_angle_beta 90.00
_cell_angle_gamma 90.00
_space_group_name_H-M_alt 'P 1'
_space_group_IT_number 1
loop_
_space_group_symop_operation_xyz
'x,y,z'
loop_
_atom_site_label
_atom_site_type_symbol
_atom_site_fract_x
_atom_site_fract_y
_atom_site_fract_z
H1 H 0.3633 0.1942 0.7465
H2 H 0.3629 0.6942 0.2465
La1 La 0.3634 0.0132 0.0653
La2 La 0.8631 0.7665 0.4394
La3 La 0.3632 0.3751 0.4275
Ga1 Ga 0.8633 0.1941 0.2465
La4 La 0.8633 0.6219 0.0534
La5 La 0.8632 0.3872 0.8186
Ga2 Ga 0.3632 0.6940 0.7463
La6 La 0.8633 0.0011 0.6744
```



The following is a DFT calculation (PBE) of a relaxed structure of Li2SnPbC.

Values from the calculation:
DFT formation energy: 7.42 eV/f.u.
mass density: 3.65 g/cm³
V: 160 Å³ per cell
DFT total energy: -2.67 eV per atom
Fermi-level density of states: 3.6 states/eV/cell
symmetry: No. 123
total magnetic moment: 2.4 μB/cell

CIF file:
```
data_Li2SnPbC
_chemical_formula_sum 'Li2 Sn1 Pb1 C1'
_cell_length_a 5.3332
_cell_length_b 5.6245
_cell_length_c 5.3332
_cell_angle_alpha 90.00
_cell_angle_beta 90.00
_cell_angle_gamma 90.00
_space_group_name_H-M_alt 'P 1'
_space_group_IT_number 1
loop_
_space_group_symop_operation_xyz
'x,y,z'
loop_
_atom_site_label
_atom_site_type_symbol
_atom_site_fract_x
_atom_site_fract_y
_atom_site_fract_z
Li1 Li 0.0000 0.0000 0.5000
C1 C 0.5000 0.5000 0.5000
Li2 Li 0.5000 0.0000 0.0000
Sn1 Sn 0.0000 0.5000 0.0000
Pb1 Pb 0.0000 0.0000 0.0000
```



The following is a DFT calculation (PBE) of a relaxed structure of Mg4TlPb3.

Values from the calculation:
DFT formation energy: -0.38 eV/f.u.
mass density: 7.38 g/cm³
V: 208 Å³ per cell
DFT total energy: -2.53 eV per atom
Fermi-level density of states: 3.0 states/eV/cell
E above lowest polymorph: 0.0 kJ/mol of formula units
symmetry: No. 123
total magnetic moment: 0.0 μB/cell

CIF file:
```
data_Mg4TlPb3
_chemical_formula_sum 'Mg4 Tl1 Pb3'
_cell_length_a 3.6290
_cell_length_b 3.6290
_cell_length_c 15.7705
_cell_angle_alpha 90.00
_cell_angle_beta 90.00
_cell_angle_gamma 90.00
_space_group_name_H-M_alt 'P 1'
_space_group_IT_number 1
loop_
_space_group_symop_operation_xyz
'x,y,z'
loop_
_atom_site_label
_atom_site_type_symbol
_atom_site_fract_x
_atom_site_fract_y
_atom_site_fract_z
Mg1 Mg 0.0000 0.0000 0.3711
Pb1 Pb 0.5000 0.5000 0.2458
Mg2 Mg 0.0000 0.0000 0.1149
Pb2 Pb 0.5000 0.5000 0.7542
Tl1 Tl 0.5000 0.5000 0.0000
Mg3 Mg 0.0000 0.0000 0.6289
Mg4 Mg 0.0000 0.0000 0.8851
Pb3 Pb 0.5000 0.5000 0.5000
```